P | The following is a GGA-PBE calculation of a relaxed structure of TlTeOsI2, from Alexandria. Values from VASP.

The structure in Quantum ESPRESSO input format:
```
&SYSTEM
  ibrav = 0, nat = 5, ntyp = 4
/
ATOMIC_SPECIES
Tl 204.38 Tl.upf
Te 127.60 Te.upf
Os 190.23 Os.upf
I 126.90 I.upf
ATOMIC_POSITIONS crystal
Tl 0.0000 0.0000 0.0000
Te 0.0000 0.0000 0.5000
Os 0.5000 0.5000 0.5000
I 0.0000 0.5000 0.0000
I 0.5000 0.0000 0.0000
CELL_PARAMETERS angstrom
6.0041 0.0000 0.0000
0.0000 6.0041 0.0000
0.0000 0.0000 5.8344
```

Q | The following is a GGA-PBE calculation of a relaxed structure of TlTeOsI2, from Alexandria. Values from VASP.

The structure in Quantum ESPRESSO input format:
```
&SYSTEM
  ibrav = 0, nat = 5, ntyp = 4
/
ATOMIC_SPECIES
Tl 204.38 Tl.upf
Te 127.60 Te.upf
Os 190.23 Os.upf
I 126.90 I.upf
ATOMIC_POSITIONS crystal
Tl 0.0000 0.0000 0.0000
Te 0.5000 0.5000 0.0000
Os 0.5000 0.5000 0.5000
I 0.0000 0.5000 0.5000
I 0.5000 0.0000 0.5000
CELL_PARAMETERS angstrom
5.7901 0.0000 0.0000
0.0000 5.7901 0.0000
0.0000 0.0000 4.9943
```

Which structure is most stable? Q, by 1.241 eV/atom over the runner-up.

P | The following is a GGA-PBE calculation of a relaxed structure of TeOsWI2, from Alexandria. Values from VASP.

The structure in Quantum ESPRESSO input format:
```
&SYSTEM
  ibrav = 0, nat = 5, ntyp = 4
/
ATOMIC_SPECIES
Te 127.60 Te.upf
Os 190.23 Os.upf
W 183.84 W.upf
I 126.90 I.upf
ATOMIC_POSITIONS crystal
Te 0.0000 0.0000 0.0000
Os 0.5000 0.5000 0.0000
W 0.0000 0.0000 0.5000
I 0.0000 0.5000 0.5000
I 0.5000 0.0000 0.5000
CELL_PARAMETERS angstrom
5.5712 0.0000 0.0000
0.0000 5.5712 0.0000
0.0000 0.0000 5.2255
```

Q | The following is a GGA-PBE calculation of a relaxed structure of TeOsWI2, from Alexandria. Values from VASP.

The structure in Quantum ESPRESSO input format:
```
&SYSTEM
  ibrav = 0, nat = 5, ntyp = 4
/
ATOMIC_SPECIES
Te 127.60 Te.upf
Os 190.23 Os.upf
W 183.84 W.upf
I 126.90 I.upf
ATOMIC_POSITIONS crystal
Te 0.0000 0.0000 0.0000
Os 0.0000 0.0000 0.5000
W 0.5000 0.5000 0.0000
I 0.0000 0.5000 0.5000
I 0.5000 0.0000 0.5000
CELL_PARAMETERS angstrom
5.4060 0.0000 0.0000
0.0000 5.4060 0.0000
0.0000 0.0000 5.1337
```

Which structure is most stable? Q, by 0.065 eV/atom over the runner-up.

P | The following is a GGA-PBE calculation of a relaxed structure of YTeOsI2, from Alexandria. Values from VASP.

The structure in Quantum ESPRESSO input format:
```
&SYSTEM
  ibrav = 0, nat = 5, ntyp = 4
/
ATOMIC_SPECIES
Y 88.91 Y.upf
Te 127.60 Te.upf
Os 190.23 Os.upf
I 126.90 I.upf
ATOMIC_POSITIONS crystal
Y 0.0000 0.0000 0.0000
Te 0.5000 0.5000 0.0000
Os 0.5000 0.5000 0.5000
I 0.0000 0.5000 0.5000
I 0.5000 0.0000 0.5000
CELL_PARAMETERS angstrom
5.3075 0.0000 0.0000
0.0000 5.3075 0.0000
0.0000 0.0000 5.3347
```

Q | The following is a GGA-PBE calculation of a relaxed structure of YTeOsI2, from Alexandria. Values from VASP.

The structure in Quantum ESPRESSO input format:
```
&SYSTEM
  ibrav = 0, nat = 5, ntyp = 4
/
ATOMIC_SPECIES
Y 88.91 Y.upf
Te 127.60 Te.upf
Os 190.23 Os.upf
I 126.90 I.upf
ATOMIC_POSITIONS crystal
Y 0.0000 0.0000 0.0000
Te 0.5000 0.5000 0.0000
Os 0.0000 0.0000 0.5000
I 0.0000 0.5000 0.5000
I 0.5000 0.0000 0.5000
CELL_PARAMETERS angstrom
5.1949 0.0000 0.0000
0.0000 5.1949 0.0000
0.0000 0.0000 5.7552
```

Which structure is most stable? Q, by 0.080 eV/atom over the runner-up.